a | A plane-wave DFT calculation with PBE-GGA was carried out for SiTeMo2 after structural relaxation.

Results
Its space group is P2/m. The calculation puts the total magnetic moment at 0.00 μB/f.u.

```
4
Lattice="3.481 0.000 0.000 0.000 3.221 0.006 0.000 2.183 6.067" Properties=species:S:1:pos:R:3 pbc="T T T"
Mo 0.000 0.332 0.156
Mo 0.000 2.371 2.881
Te 1.740 4.053 4.555
Si 1.740 1.351 1.518
```

b | A plane-wave DFT calculation with PBE-GGA was carried out for SiTeMo2 after structural relaxation.

Results
Its space group is I-42d. The calculation puts the total magnetic moment at 0.00 μB/f.u.

```
8
Lattice="-0.578 -0.435 -4.096 1.802 -3.746 0.143 -7.322 -5.848 -0.457" Properties=species:S:1:pos:R:3 pbc="T T T"
Te 0.000 0.000 0.000
Te -3.644 -4.187 -3.265
Si 0.612 -2.090 -1.976
Si -2.454 -5.842 -1.145
Mo -4.912 -6.203 -1.816
Mo -4.541 -7.795 -3.811
Mo -0.815 -3.887 -0.810
Mo -1.928 -2.173 -2.384
```

Energies relative to the most stable structure are a 0; b 345, reported in meV per atom.

a | A plane-wave DFT calculation with PBE-GGA was carried out for SiTeMo2 after structural relaxation.

Results
Its space group is C2/m. The calculation puts the total magnetic moment at 0.00 μB/f.u.

```
4
Lattice="-0.389 -0.542 4.496 1.735 -2.563 3.328 3.871 2.948 1.939" Properties=species:S:1:pos:R:3 pbc="T T T"
Mo 2.683 0.078 4.746
Mo 3.797 2.792 2.075
Si 3.913 -0.118 7.322
Te 1.304 -0.039 2.441
```

b | A plane-wave DFT calculation with PBE-GGA was carried out for SiTeMo2 after structural relaxation.

Results
Its space group is Cmmm. The calculation puts the total magnetic moment at 0.00 μB/f.u.

```
4
Lattice="3.058 -0.048 0.000 -1.052 2.872 0.000 0.000 0.000 8.040" Properties=species:S:1:pos:R:3 pbc="T T T"
Te 1.003 1.412 6.030
Si 1.003 1.412 2.010
Mo 0.000 0.000 3.721
Mo 0.000 0.000 0.299
```

c | A plane-wave DFT calculation with PBE-GGA was carried out for SiTeMo2 after structural relaxation.

Results
Its space group is P4mm. The calculation puts the total magnetic moment at 0.00 μB/f.u.

```
4
Lattice="3.342 0.000 0.000 0.000 3.342 0.000 0.000 0.000 6.140" Properties=species:S:1:pos:R:3 pbc="T T T"
Mo 1.671 1.671 1.859
Mo 0.000 0.000 6.114
Si 0.000 0.000 2.657
Te 1.671 1.671 4.719
```

d | A plane-wave DFT calculation with PBE-GGA was carried out for SiTeMo2 after structural relaxation.

Results
Its space group is Cm. The calculation puts the total magnetic moment at 0.00 μB/f.u.

```
4
Lattice="-4.780 0.171 -0.472 -3.500 -1.919 -2.678 -1.668 -3.655 2.494" Properties=species:S:1:pos:R:3 pbc="T T T"
Mo -1.638 -3.569 2.430
Mo -2.520 -1.597 0.050
Si -4.918 -2.418 -0.563
Te -7.515 -4.174 -0.407
```

Energies relative to the most stable structure are a 237; b 439; c 0; d 62, reported in meV per atom.

a | A plane-wave DFT calculation with PBE-GGA was carried out for Si3TeMo after structural relaxation.

Results
Its space group is Pm-3m. The calculation puts the total magnetic moment at 3.86 μB/f.u.

```
5
Lattice="-2.792 3.239 2.711 0.810 -2.779 4.155 4.146 2.725 1.014" Properties=species:S:1:pos:R:3 pbc="T T T"
Si 2.073 1.362 0.507
Si 0.405 -1.389 2.077
Si -1.396 1.620 1.355
Mo 1.082 1.593 3.940
Te 0.000 0.000 0.000
```

b | A plane-wave DFT calculation with PBE-GGA was carried out for Si3TeMo after structural relaxation.

Results
Its space group is Pm-3m. The calculation puts the total magnetic moment at 0.00 μB/f.u.

```
5
Lattice="4.824 0.000 0.000 0.000 4.824 0.000 0.000 0.000 4.824" Properties=species:S:1:pos:R:3 pbc="T T T"
Te 2.412 2.412 2.412
Si 2.412 0.000 0.000
Si 0.000 2.412 0.000
Si 0.000 0.000 2.412
Mo 0.000 0.000 0.000
```

Energies relative to the most stable structure are a 1319; b 0, reported in meV per atom.

a | A plane-wave DFT calculation with PBE-GGA was carried out for SiTe3Mo after structural relaxation.

Results
Its space group is Pm-3m. The calculation puts the total magnetic moment at 0.22 μB/f.u.

```
5
Lattice="5.101 0.000 0.000 0.000 5.101 0.000 0.000 0.000 5.101" Properties=species:S:1:pos:R:3 pbc="T T T"
Si 0.000 0.000 0.000
Te 0.000 2.551 0.000
Te 2.551 0.000 0.000
Te 0.000 0.000 2.551
Mo 2.551 2.551 2.551
```

b | A plane-wave DFT calculation with PBE-GGA was carried out for SiTe3Mo after structural relaxation.

Results
Its space group is Pm-3m. The calculation puts the total magnetic moment at 1.18 μB/f.u.

```
5
Lattice="5.292 0.000 0.000 0.000 5.292 0.000 0.000 0.000 5.292" Properties=species:S:1:pos:R:3 pbc="T T T"
Si 2.646 2.646 2.646
Mo 0.000 0.000 0.000
Te 0.000 2.646 0.000
Te 2.646 0.000 0.000
Te 0.000 0.000 2.646
```

Energies relative to the most stable structure are a 413; b 0, reported in meV per atom.

a | A plane-wave DFT calculation with PBE-GGA was carried out for Si2TeMo2 after structural relaxation.

Results
Its space group is P4/mbm. The calculation puts the total magnetic moment at 0.00 μB/f.u.

```
10
Lattice="7.218 0.000 0.000 0.000 7.218 0.000 0.000 0.000 3.203" Properties=species:S:1:pos:R:3 pbc="T T T"
Te 3.609 3.609 0.000
Te 0.000 0.000 0.000
Mo 4.725 1.116 0.000
Mo 1.116 2.493 0.000
Mo 2.493 6.103 0.000
Mo 6.103 4.725 0.000
Si 4.542 6.285 1.601
Si 0.933 4.542 1.601
Si 6.285 2.676 1.601
Si 2.676 0.933 1.601
```

b | A plane-wave DFT calculation with PBE-GGA was carried out for Si2TeMo2 after structural relaxation.

Results
Its space group is I4/mmm. The calculation puts the total magnetic moment at 0.00 μB/f.u.

```
5
Lattice="-2.193 1.141 -2.443 -0.325 -3.238 -1.221 -6.529 -2.116 2.400" Properties=species:S:1:pos:R:3 pbc="T T T"
Te 0.000 0.000 0.000
Si -4.990 -1.012 -0.937
Si -4.056 -3.201 -0.326
Mo -2.457 -1.291 -0.869
Mo -6.589 -2.921 -0.394
```

Energies relative to the most stable structure are a 149; b 0, reported in meV per atom.

a | A plane-wave DFT calculation with PBE-GGA was carried out for SiTeMo3 after structural relaxation.

Results
Its space group is Pm-3m. The calculation puts the total magnetic moment at 0.98 μB/f.u.

```
5
Lattice="4.866 0.000 0.000 0.000 4.866 0.000 0.000 0.000 4.866" Properties=species:S:1:pos:R:3 pbc="T T T"
Mo 0.000 0.000 2.433
Mo 0.000 2.433 0.000
Mo 2.433 0.000 0.000
Si 2.433 2.433 2.433
Te 0.000 0.000 0.000
```

b | A plane-wave DFT calculation with PBE-GGA was carried out for SiTeMo3 after structural relaxation.

Results
Its space group is Pm-3m. The calculation puts the total magnetic moment at 1.51 μB/f.u.

```
5
Lattice="-4.196 1.814 -0.052 -0.805 -1.743 4.149 1.626 3.817 1.919" Properties=species:S:1:pos:R:3 pbc="T T T"
Mo -0.403 -0.871 2.074
Mo -2.098 0.907 -0.026
Mo 0.813 1.909 0.960
Si 0.000 0.000 0.000
Te -1.688 1.944 3.008
```

Energies relative to the most stable structure are a 1075; b 0, reported in meV per atom.